Density functional theory data (GGA-PBE) for a relaxed PaSi3Rh2 crystal.

a = 7.5655 Å, b = 7.5655 Å, c = 7.2369 Å
α = 111.70°, β = 111.70°, γ = 31.62°
Closest atoms and distances in Å follow each position.
Element x y z (fractional)
1 Pa 0.1499 0.1499 0.0967  8 Si 2.89-3.22, 2 Rh 3.01
2 Pa 0.8501 0.8501 0.9033  8 Si 2.89-3.22, 2 Rh 3.01
3 Si 0.0022 0.0022 0.3335  4 Rh 2.37-2.55, 1 Si 2.44
4 Si 0.3139 0.3139 0.5451  4 Rh 2.38-2.49
5 Si 0.3631 0.3631 0.2100  3 Rh 2.39-2.48
6 Si 0.6368 0.6368 0.7900  3 Rh 2.39-2.48
7 Si 0.6861 0.6861 0.4549  4 Rh 2.38-2.49
8 Si 0.9978 0.9978 0.6666  4 Rh 2.37-2.55, 1 Si 2.44
9 Rh 0.1649 0.1649 0.6277  7 Si 2.46-2.55
10 Rh 0.4755 0.4755 0.8056  4 Si 2.37-2.39, 1 Rh 2.62
11 Rh 0.5245 0.5245 0.1944  4 Si 2.37-2.39, 1 Rh 2.62
12 Rh 0.8351 0.8351 0.3723  7 Si 2.46-2.55

Output
For the relative energy among the computed polymorphs, the calculation gives 0.000 eV per atom. For the uncorrected formation energy, the calculation gives -4.06 eV per formula unit.


Density functional theory data (GGA-PBE) for a relaxed Ti2ReI crystal.

a = 4.6437 Å, b = 4.6437 Å, c = 4.6437 Å
α = 60.00°, β = 60.00°, γ = 60.00°
Closest atoms and distances in Å follow each position.
Element x y z (fractional)
1 Ti 0.2500 0.2500 0.2500  4 I 2.84, 4 Re 2.84
2 Ti 0.7500 0.7500 0.7500  4 I 2.84, 4 Re 2.84
3 Re 0.0000 0.0000 0.0000  8 Ti 2.84
4 I 0.5000 0.5000 0.5000  8 Ti 2.84

Output
For the relative energy among the computed polymorphs, the calculation gives 0.000 eV per atom. For the uncorrected formation energy, the calculation gives 2.07 eV per formula unit.


Density functional theory data (GGA-PBE) for a relaxed Ac2DyTa crystal.

a = 12.5230 Å, b = 12.5230 Å, c = 12.5230 Å
α = 16.07°, β = 16.07°, γ = 16.07°
Closest atoms and distances in Å follow each position.
Element x y z (fractional)
1 Ac 0.0818 0.0818 0.0818  1 Ta 3.03
2 Ac 0.9182 0.9182 0.9182  1 Ta 3.03
3 Dy 0.5000 0.5000 0.5000  6 Dy 3.50, 6 Ac 3.74
4 Ta 0.0000 0.0000 0.0000  2 Ac 3.03

Output
Its calculated formation energy is 86 kJ per mole of atoms.